Record 1
DFT (PBE) results for crystalline Sc6TcAg3 at its relaxed geometry.

Lattice parameters (Å, degrees): 4.8890 8.4205 10.4154 107.84 90.00 90.00
With the nearest neighbours (Å) after each atom.
Fractional positions:
Sc (0.2500, 0.4662, 0.0931)  7 Ag 2.86-3.15
Sc (0.7500, 0.5338, 0.9069)  7 Ag 2.86-3.15
Sc (0.2500, 0.1137, 0.1605)  3 Ag 2.95-3.13, 8 Sc 3.04-3.27
Sc (0.7500, 0.8863, 0.8395)  3 Ag 2.95-3.13, 8 Sc 3.04-3.27
Sc (0.2500, 0.6830, 0.6805)  1 Tc 2.70, 5 Ag 2.88-2.97
Sc (0.7500, 0.3170, 0.3195)  1 Tc 2.70, 5 Ag 2.88-2.97
Sc (0.2500, 0.2213, 0.4896)  3 Tc 2.79-2.88, 2 Ag 2.91-3.03, 1 Sc 3.08
Sc (0.7500, 0.7787, 0.5104)  3 Tc 2.79-2.88, 2 Ag 2.91-3.03, 1 Sc 3.08
Sc (0.2500, 0.8471, 0.3290)  3 Tc 2.70-2.90, 1 Ag 2.99
Sc (0.7500, 0.1529, 0.6710)  3 Tc 2.70-2.90, 1 Ag 2.99
Sc (0.2500, 0.1079, 0.8601)  1 Tc 2.60, 1 Ag 2.82
Sc (0.7500, 0.8921, 0.1399)  1 Tc 2.60, 1 Ag 2.82
Tc (0.2500, 0.9600, 0.6012)  8 Sc 2.60-2.90
Tc (0.7500, 0.0400, 0.3988)  8 Sc 2.60-2.90
Ag (0.2500, 0.5187, 0.3838)  6 Sc 2.92-3.03, 2 Ag 3.17
Ag (0.7500, 0.4813, 0.6162)  6 Sc 2.92-3.03, 2 Ag 3.17
Ag (0.2500, 0.3974, 0.7780)  6 Sc 2.82-3.15
Ag (0.7500, 0.6026, 0.2220)  6 Sc 2.82-3.15
Ag (0.2500, 0.7693, 0.9753)  9 Sc 2.93-3.15, 1 Ag 3.18
Ag (0.7500, 0.2307, 0.0247)  9 Sc 2.93-3.15, 1 Ag 3.18

Results
* uncorrected energy: -5.911 eV per atom
* SG: P2_1/m, No. 11
* total magnetic moment: 0.00 μB per formula unit

***

Record 2
DFT (PBE) results for crystalline ScTc2Ag at its relaxed geometry.

Lattice parameters (Å, degrees): 2.6957 2.6957 9.0995 90.00 90.00 90.00
With the nearest neighbours (Å) after each atom.
Fractional positions:
Ag (0.5000, 0.5000, 0.2500)  4 Ag 2.70, 8 Tc 2.97
Sc (0.5000, 0.5000, 0.7500)  4 Sc 2.70, 8 Tc 2.97
Tc (0.0000, 0.0000, 0.0003)  4 Tc 2.70, 4 Ag 2.97, 4 Sc 2.97
Tc (0.0000, 0.0000, 0.4997)  4 Tc 2.70, 4 Ag 2.97, 4 Sc 2.97

Results
* uncorrected energy: -7.168 eV per atom
* SG: P4/mmm, No. 123
* energy relative to the lowest polymorph listed for this composition: 341 meV/atom
* total magnetic moment: 0.00 μB per formula unit

***

Record 3
DFT (PBE) results for crystalline ScTcAg3 at its relaxed geometry.

Lattice parameters (Å, degrees): 4.9928 4.9928 4.9928 90.00 90.00 90.00
With the nearest neighbours (Å) after each atom.
Fractional positions:
Sc (0.0000, 0.0000, 0.0000)  6 Ag 2.50
Tc (0.5000, 0.5000, 0.5000)  12 Ag 3.53
Ag (0.0000, 0.5000, 0.0000)  2 Sc 2.50
Ag (0.0000, 0.0000, 0.5000)  2 Sc 2.50
Ag (0.5000, 0.0000, 0.0000)  2 Sc 2.50

Results
* uncorrected energy: -3.536 eV per atom
* SG: Pm-3m, No. 221
* energy relative to the lowest polymorph listed for this composition: 358 meV/atom
* total magnetic moment: 3.67 μB per formula unit

***

Record 4
DFT (PBE) results for crystalline ScTc2Ag at its relaxed geometry.

Lattice parameters (Å, degrees): 3.0505 3.0505 7.3605 90.00 90.00 90.00
With the nearest neighbours (Å) after each atom.
Fractional positions:
Ag (0.0000, 0.0000, 0.4872)  4 Tc 2.94, 4 Sc 3.00, 4 Ag 3.05
Sc (0.5000, 0.5000, 0.7697)  4 Tc 2.87, 4 Ag 3.00, 4 Sc 3.05
Tc (0.0000, 0.0000, 0.0267)  4 Tc 2.57, 4 Sc 2.87
Tc (0.5000, 0.5000, 0.2163)  4 Tc 2.57

Results
* uncorrected energy: -7.509 eV per atom
* SG: P4mm, No. 99
* energy relative to the lowest polymorph listed for this composition: 0 meV/atom
* total magnetic moment: 0.00 μB per formula unit

***

Number 1: energy of formation from the pure elements -0.22 eV/atom. Number 2: energy of formation from the pure elements 0.31 eV/atom. Number 3: energy of formation from the pure elements 1.51 eV/atom. Number 4: energy of formation from the pure elements -0.03 eV/atom.